Compound: CrTeMoI2
Source: Alexandria via LeMat-Bulk
Functional: PBE
Structure: relaxed

Computed properties:
Excess energy over the best structure of this formula in the dataset: 0 meV per atom
Energy relative to the elements, uncorrected: 70.3 kJ per mole of atoms
DOS(E_F): 4.6 states/eV/f.u.
Calculated density: 5.1 g/cm3
Total magnetic moment: 1.55 μB/atom

a b c (Å): 5.6646 5.6646 5.3358
angles (deg): 90.00 90.00 90.00
With the nearest neighbours (Å) after each atom.
Space group P4/mmm (No. 123)
Unique sites:
Cr  0.0000  0.0000  0.0000 x1  8 I 3.89, 4 Te 4.01
Te  0.5000  0.5000  0.0000 x1  2 Mo 2.67
Mo  0.5000  0.5000  0.5000 x1  2 Te 2.67, 4 I 2.83
I  0.0000  0.5000  0.5000 x2  2 Mo 2.83



Compound: CrTe2MoI
Source: Alexandria via LeMat-Bulk
Functional: PBE
Structure: relaxed

Computed properties:
Excess energy over the best structure of this formula in the dataset: 0 meV per atom
Energy relative to the elements, uncorrected: 72.6 kJ per mole of atoms
DOS(E_F): 5.2 states/eV/f.u.
Calculated density: 5.5 g/cm3
Total magnetic moment: 1.31 μB/atom

a b c (Å): 5.3039 5.3039 5.7212
angles (deg): 90.00 90.00 90.00
With the nearest neighbours (Å) after each atom.
Space group P4/mmm (No. 123)
Unique sites:
Cr  0.0000  0.0000  0.0000 x1  4 I 3.75, 8 Te 3.90
Te  0.0000  0.5000  0.5000 x2  2 Mo 2.65
Mo  0.5000  0.5000  0.5000 x1  4 Te 2.65, 2 I 2.86
I  0.5000  0.5000  0.0000 x1  2 Mo 2.86



Compound: CrTeMoI2
Source: Alexandria via LeMat-Bulk
Functional: PBE
Structure: relaxed

Computed properties:
Excess energy over the best structure of this formula in the dataset: 133 meV per atom
Energy relative to the elements, uncorrected: 83.1 kJ per mole of atoms
DOS(E_F): 4.1 states/eV/f.u.
Calculated density: 5.5 g/cm3
Total magnetic moment: 1.60 μB/atom

a b c (Å): 5.4609 5.4609 5.4064
angles (deg): 90.00 90.00 90.00
With the nearest neighbours (Å) after each atom.
Space group P4/mmm (No. 123)
Unique sites:
Cr  0.0000  0.0000  0.0000 x1  2 Te 2.70, 4 I 2.73
Te  0.0000  0.0000  0.5000 x1  2 Cr 2.70
Mo  0.5000  0.5000  0.5000 x1  8 I 3.84, 4 Te 3.86
I  0.0000  0.5000  0.0000 x2  2 Cr 2.73



Compound: CrTe2MoI
Source: Alexandria via LeMat-Bulk
Functional: PBE
Structure: relaxed

Computed properties:
Excess energy over the best structure of this formula in the dataset: 163 meV per atom
Energy relative to the elements, uncorrected: 88.3 kJ per mole of atoms
DOS(E_F): 4.4 states/eV/f.u.
Calculated density: 5.8 g/cm3
Total magnetic moment: 1.45 μB/atom

a b c (Å): 5.2919 5.2919 5.3960
angles (deg): 90.00 90.00 90.00
With the nearest neighbours (Å) after each atom.
Space group P4/mmm (No. 123)
Unique sites:
Cr  0.0000  0.0000  0.0000 x1  4 Te 2.65, 2 I 2.70
Te  0.0000  0.5000  0.0000 x2  2 Cr 2.65
Mo  0.5000  0.5000  0.5000 x1  4 I 3.74, 8 Te 3.78
I  0.0000  0.0000  0.5000 x1  2 Cr 2.70



Compound: CrI2N
Source: Alexandria via LeMat-Bulk
Functional: PBE
Structure: relaxed

Computed properties:
Excess energy over the best structure of this formula in the dataset: 37 meV per atom
Energy relative to the elements, uncorrected: 151.5 kJ per mole of atoms
DOS(E_F): 7.7 states/eV/f.u.
Calculated density: 6.7 g/cm3
Total magnetic moment: 0.82 μB/atom

a b c (Å): 6.8104 6.8104 6.8104
angles (deg): 90.00 90.00 90.00
With the nearest neighbours (Å) after each atom.
Space group Fm-3m (No. 225)
Unique sites:
Cr  0.0000  0.0000  0.0000 x4  8 I 2.95
I  0.2500  0.2500  0.2500 x8  4 Cr 2.95, 4 N 2.95
N  0.0000  0.0000  0.5000 x4  8 I 2.95



Compound: Cr2IN
Source: Alexandria via LeMat-Bulk
Functional: PBE
Structure: relaxed

Computed properties:
Excess energy over the best structure of this formula in the dataset: 0 meV per atom
Energy relative to the elements, uncorrected: 10.3 kJ per mole of atoms
DOS(E_F): 1.0 states/eV/f.u.
Calculated density: 5.1 g/cm3
Total magnetic moment: 2.00 μB/atom

a b c (Å): 5.8742 5.8742 9.2795
angles (deg): 90.00 90.00 90.00
With the nearest neighbours (Å) after each atom.
Space group I-42d (No. 122)
Unique sites:
Cr  0.1080  0.2500  0.1250 x8  2 N 1.98
I  0.0000  0.0000  0.5000 x4  4 Cr 2.97
N  0.0000  0.0000  0.0000 x4  4 Cr 1.98



Compound: Cr2IN
Source: Alexandria via LeMat-Bulk
Functional: PBE
Structure: relaxed

Computed properties:
Excess energy over the best structure of this formula in the dataset: 1160 meV per atom
Energy relative to the elements, uncorrected: 122.2 kJ per mole of atoms
DOS(E_F): 3.4 states/eV/f.u.
Calculated density: 7.4 g/cm3
Total magnetic moment: 1.00 μB/atom

a b c (Å): 6.0476 6.0476 6.0476
angles (deg): 90.00 90.00 90.00
With the nearest neighbours (Å) after each atom.
Space group Fm-3m (No. 225)
Unique sites:
Cr  0.2500  0.2500  0.2500 x8  4 I 2.62, 4 N 2.62
I  0.0000  0.0000  0.0000 x4  8 Cr 2.62
N  0.0000  0.0000  0.5000 x4  8 Cr 2.62



Compound: CrI3N
Source: Alexandria via LeMat-Bulk
Functional: PBE
Structure: relaxed

Computed properties:
Excess energy over the best structure of this formula in the dataset: 0 meV per atom
Energy relative to the elements, uncorrected: 106.6 kJ per mole of atoms
DOS(E_F): 5.5 states/eV/f.u.
Calculated density: 5.7 g/cm3
Total magnetic moment: 0.92 μB/atom

a b c (Å): 5.0666 5.0666 5.0666
angles (deg): 90.00 90.00 90.00
With the nearest neighbours (Å) after each atom.
Space group Pm-3m (No. 221)
Unique sites:
Cr  0.0000  0.0000  0.0000 x1  12 I 3.58
I  0.0000  0.5000  0.5000 x3  2 N 2.53
N  0.5000  0.5000  0.5000 x1  6 I 2.53



Compound: CrI2N
Source: Alexandria via LeMat-Bulk
Functional: PBE
Structure: relaxed

Computed properties:
Excess energy over the best structure of this formula in the dataset: 0 meV per atom
Energy relative to the elements, uncorrected: 147.9 kJ per mole of atoms
DOS(E_F): 6.4 states/eV/f.u.
Calculated density: 5.6 g/cm3
Total magnetic moment: 0.00 μB/atom

a b c (Å): 5.8100 5.8100 11.2665
angles (deg): 90.00 90.00 90.00
With the nearest neighbours (Å) after each atom.
Space group I-42d (No. 122)
Unique sites:
Cr  0.0000  0.0000  0.0000 x4  4 I 2.50
I  0.2474  0.2500  0.6250 x8  2 N 2.48, 2 Cr 2.50
N  0.0000  0.0000  0.5000 x4  4 I 2.48



Compound: CrI3N
Source: Alexandria via LeMat-Bulk
Functional: PBE
Structure: relaxed

Computed properties:
Excess energy over the best structure of this formula in the dataset: 538 meV per atom
Energy relative to the elements, uncorrected: 158.6 kJ per mole of atoms
DOS(E_F): 13.0 states/eV/f.u.
Calculated density: 5.2 g/cm3
Total magnetic moment: 0.00 μB/atom

a b c (Å): 5.2351 5.2351 5.2351
angles (deg): 90.00 90.00 90.00
With the nearest neighbours (Å) after each atom.
Space group Pm-3m (No. 221)
Unique sites:
Cr  0.0000  0.0000  0.0000 x1  6 I 2.62
I  0.0000  0.0000  0.5000 x3  2 Cr 2.62
N  0.5000  0.5000  0.5000 x1  12 I 3.70



Compound: NaCrI2N
Source: Alexandria via LeMat-Bulk
Functional: PBE
Structure: relaxed

Computed properties:
Excess energy over the best structure of this formula in the dataset: 0 meV per atom
Energy relative to the elements, uncorrected: -28.8 kJ per mole of atoms
DOS(E_F): 2.2 states/eV/f.u.
Calculated density: 4.7 g/cm3
Total magnetic moment: 0.40 μB/atom

a b c (Å): 5.7501 5.7501 3.6971
angles (deg): 90.00 90.00 90.00
With the nearest neighbours (Å) after each atom.
Space group P4/mmm (No. 123)
Unique sites:
Na  0.0000  0.0000  0.0000 x1  8 I 3.42, 2 Na 3.70
Cr  0.5000  0.5000  0.5000 x1  2 N 1.85
I  0.0000  0.5000  0.5000 x2  2 Cr 2.88
N  0.5000  0.5000  0.0000 x1  2 Cr 1.85



Compound: NaCrI2N
Source: Alexandria via LeMat-Bulk
Functional: PBE
Structure: relaxed

Computed properties:
Excess energy over the best structure of this formula in the dataset: 2070 meV per atom
Energy relative to the elements, uncorrected: 170.9 kJ per mole of atoms
DOS(E_F): 13.6 states/eV/f.u.
Calculated density: 4.2 g/cm3
Total magnetic moment: 0.10 μB/atom

a b c (Å): 5.6212 5.6212 4.2549
angles (deg): 90.00 90.00 90.00
With the nearest neighbours (Å) after each atom.
Space group P4/mmm (No. 123)
Unique sites:
Na  0.0000  0.0000  0.0000 x1  2 N 2.13
Cr  0.5000  0.5000  0.5000 x1  8 I 3.52
I  0.0000  0.5000  0.0000 x2  2 Na 2.81
N  0.0000  0.0000  0.5000 x1  2 Na 2.13